The following is a PBE calculation of a relaxed structure of Ho2BiIrO8, from Alexandria.

Cell lengths 5.013, 5.010, 6.723 Å; angles 90.00, 90.00, 91.46 degrees
Element x y z (fractional)
1 Ho 0.500 0.500 0.755
2 Ho 0.500 0.500 0.245
3 Bi 0.000 0.000 0.500
4 Ir 0.000 0.000 0.000
5 O 0.181 0.819 0.225
6 O 0.724 0.724 0.000
7 O 0.819 0.181 0.225
8 O 0.819 0.181 0.775
9 O 0.276 0.276 0.000
10 O 0.181 0.819 0.775
11 O 0.694 0.694 0.500
12 O 0.306 0.306 0.500

Values from the calculation:
E_tot in eV/atom: -7.082
SG: No. 65